Entry 1:
# V6GeMo PBE optimized geometry
data_V6GeMo
_cell_length_a 5.231
_cell_length_b 5.231
_cell_length_c 4.265
_cell_angle_alpha 90.00
_cell_angle_beta 90.00
_cell_angle_gamma 109.49
_symmetry_space_group_name_H-M 'P 1'
_symmetry_Int_Tables_number 1
_symmetry_space_group_name_Hall 'P 1'
loop_
_atom_site_label
_atom_site_fract_x
_atom_site_fract_y
_atom_site_fract_z
V1 0.000 0.500 0.500
V2 0.239 0.761 0.000
V3 0.263 0.263 0.000
V4 0.500 0.000 0.500
V5 0.737 0.737 0.000
V6 0.761 0.239 0.000
Ge1 0.000 0.000 0.500
Mo1 0.500 0.500 0.500
# - DFT total energy (eV per atom) = -8.931


Entry 2:
# Fe2WSe PBE optimized geometry
data_Fe2WSe
_cell_length_a 4.629
_cell_length_b 4.629
_cell_length_c 4.354
_cell_angle_alpha 105.12
_cell_angle_beta 105.12
_cell_angle_gamma 38.18
_symmetry_space_group_name_H-M 'P 1'
_symmetry_Int_Tables_number 1
_symmetry_space_group_name_Hall 'P 1'
loop_
_atom_site_label
_atom_site_fract_x
_atom_site_fract_y
_atom_site_fract_z
Fe1 0.000 0.000 0.000
Fe2 0.733 0.733 0.127
W1 0.228 0.228 0.639
Se1 0.481 0.481 0.458
# - raw formation energy (meV/atom) = 347
# - DFT total energy (eV per atom) = -7.994


Entry 3:
# ZnTc3Ru PBE optimized geometry
data_ZnTc3Ru
_cell_length_a 4.644
_cell_length_b 4.644
_cell_length_c 4.644
_cell_angle_alpha 90.00
_cell_angle_beta 90.00
_cell_angle_gamma 90.00
_symmetry_space_group_name_H-M 'P 1'
_symmetry_Int_Tables_number 1
_symmetry_space_group_name_Hall 'P 1'
loop_
_atom_site_label
_atom_site_fract_x
_atom_site_fract_y
_atom_site_fract_z
Zn1 0.000 0.000 0.000
Tc1 0.000 0.500 0.500
Tc2 0.500 0.000 0.500
Tc3 0.500 0.500 0.000
Ru1 0.500 0.500 0.500
# - ΔE to the lowest computed polymorph (eV per atom) = 0.000
# - DFT total energy (eV per atom) = -6.619


Entry 4:
# AcPu2Tl PBE optimized geometry
data_AcPu2Tl
_cell_length_a 4.095
_cell_length_b 4.095
_cell_length_c 7.516
_cell_angle_alpha 90.00
_cell_angle_beta 90.00
_cell_angle_gamma 90.00
_symmetry_space_group_name_H-M 'P 1'
_symmetry_Int_Tables_number 1
_symmetry_space_group_name_Hall 'P 1'
loop_
_atom_site_label
_atom_site_fract_x
_atom_site_fract_y
_atom_site_fract_z
Ac1 0.000 0.000 0.000
Pu1 0.500 0.500 0.290
Pu2 0.500 0.500 0.710
Tl1 0.000 0.000 0.500
# - ΔE to the lowest computed polymorph (eV per atom) = 0.098
# - DFT total energy (eV per atom) = -8.627


Entry 5:
# YTePb3 PBE optimized geometry
data_YTePb3
_cell_length_a 5.942
_cell_length_b 5.942
_cell_length_c 5.942
_cell_angle_alpha 90.00
_cell_angle_beta 90.00
_cell_angle_gamma 90.00
_symmetry_space_group_name_H-M 'P 1'
_symmetry_Int_Tables_number 1
_symmetry_space_group_name_Hall 'P 1'
loop_
_atom_site_label
_atom_site_fract_x
_atom_site_fract_y
_atom_site_fract_z
Y1 0.000 0.000 0.000
Te1 0.500 0.500 0.500
Pb1 0.000 0.000 0.500
Pb2 0.000 0.500 0.000
Pb3 0.500 0.000 0.000
# - raw formation energy (meV/atom) = 480
# - ΔE to the lowest computed polymorph (eV per atom) = 0.000
# - DFT total energy (eV per atom) = -3.666


Entry 6:
# BaYTcBi2 PBE optimized geometry
data_BaYTcBi2
_cell_length_a 5.820
_cell_length_b 5.820
_cell_length_c 6.514
_cell_angle_alpha 90.00
_cell_angle_beta 90.00
_cell_angle_gamma 90.00
_symmetry_space_group_name_H-M 'P 1'
_symmetry_Int_Tables_number 1
_symmetry_space_group_name_Hall 'P 1'
loop_
_atom_site_label
_atom_site_fract_x
_atom_site_fract_y
_atom_site_fract_z
Ba1 0.000 0.000 0.000
Y1 0.000 0.000 0.500
Tc1 0.500 0.500 0.000
Bi1 0.000 0.500 0.500
Bi2 0.500 0.000 0.500
# - DFT total energy (eV per atom) = -4.216


Entry 7:
# SrAs2SeBr PBE optimized geometry
data_SrAs2SeBr
_cell_length_a 5.140
_cell_length_b 5.140
_cell_length_c 5.489
_cell_angle_alpha 90.00
_cell_angle_beta 90.00
_cell_angle_gamma 90.00
_symmetry_space_group_name_H-M 'P 1'
_symmetry_Int_Tables_number 1
_symmetry_space_group_name_Hall 'P 1'
loop_
_atom_site_label
_atom_site_fract_x
_atom_site_fract_y
_atom_site_fract_z
Sr1 0.000 0.000 0.000
As1 0.000 0.500 0.500
As2 0.500 0.000 0.500
Se1 0.500 0.500 0.000
Br1 0.500 0.500 0.500
# - raw formation energy (meV/atom) = 177
# - ΔE to the lowest computed polymorph (eV per atom) = 0.339
# - DFT total energy (eV per atom) = -3.051


Entry 8:
# EuTm2Sc PBE optimized geometry
data_EuTm2Sc
_cell_length_a 3.529
_cell_length_b 3.529
_cell_length_c 9.853
_cell_angle_alpha 90.00
_cell_angle_beta 90.00
_cell_angle_gamma 90.00
_symmetry_space_group_name_H-M 'P 1'
_symmetry_Int_Tables_number 1
_symmetry_space_group_name_Hall 'P 1'
loop_
_atom_site_label
_atom_site_fract_x
_atom_site_fract_y
_atom_site_fract_z
Eu1 0.000 0.000 0.000
Tm1 0.500 0.500 0.279
Tm2 0.500 0.500 0.721
Sc1 0.000 0.000 0.500
# - ΔE to the lowest computed polymorph (eV per atom) = 0.000
# - DFT total energy (eV per atom) = -6.300


Entry 9:
# KRhO2F PBE optimized geometry
data_KRhO2F
_cell_length_a 3.879
_cell_length_b 3.879
_cell_length_c 4.668
_cell_angle_alpha 90.00
_cell_angle_beta 90.00
_cell_angle_gamma 90.00
_symmetry_space_group_name_H-M 'P 1'
_symmetry_Int_Tables_number 1
_symmetry_space_group_name_Hall 'P 1'
loop_
_atom_site_label
_atom_site_fract_x
_atom_site_fract_y
_atom_site_fract_z
K1 0.000 0.000 0.000
Rh1 0.500 0.500 0.500
O1 0.000 0.500 0.500
O2 0.500 0.000 0.500
F1 0.500 0.500 0.000
# - raw formation energy (meV/atom) = -1227
# - DFT total energy (eV per atom) = -5.275


Entry 10:
# Ca2Re PBE optimized geometry
data_Ca2Re
_cell_length_a 8.411
_cell_length_b 8.411
_cell_length_c 4.003
_cell_angle_alpha 90.00
_cell_angle_beta 90.00
_cell_angle_gamma 42.17
_symmetry_space_group_name_H-M 'P 1'
_symmetry_Int_Tables_number 1
_symmetry_space_group_name_Hall 'P 1'
loop_
_atom_site_label
_atom_site_fract_x
_atom_site_fract_y
_atom_site_fract_z
Ca1 0.106 0.611 0.750
Ca2 0.389 0.894 0.750
Ca3 0.611 0.106 0.250
Ca4 0.894 0.389 0.250
Re1 0.113 0.887 0.250
Re2 0.887 0.113 0.750
# - ΔE to the lowest computed polymorph (eV per atom) = 0.000
# - DFT total energy (eV per atom) = -5.088


Entry 11:
# CuAu2Cl PBE optimized geometry
data_CuAu2Cl
_cell_length_a 3.848
_cell_length_b 4.873
_cell_length_c 4.025
_cell_angle_alpha 90.00
_cell_angle_beta 90.85
_cell_angle_gamma 90.00
_symmetry_space_group_name_H-M 'P 1'
_symmetry_Int_Tables_number 1
_symmetry_space_group_name_Hall 'P 1'
loop_
_atom_site_label
_atom_site_fract_x
_atom_site_fract_y
_atom_site_fract_z
Cu1 0.000 0.000 0.000
Au1 0.240 0.500 0.760
Au2 0.760 0.500 0.240
Cl1 0.500 0.000 0.500
# - raw formation energy (meV/atom) = 187
# - ΔE to the lowest computed polymorph (eV per atom) = 0.222
# - DFT total energy (eV per atom) = -2.938


Entry 12:
# BaH11Pd5 PBE optimized geometry
data_BaH11Pd5
_cell_length_a 5.492
_cell_length_b 5.704
_cell_length_c 6.934
_cell_angle_alpha 105.48
_cell_angle_beta 105.46
_cell_angle_gamma 104.53
_symmetry_space_group_name_H-M 'P 1'
_symmetry_Int_Tables_number 1
_symmetry_space_group_name_Hall 'P 1'
loop_
_atom_site_label
_atom_site_fract_x
_atom_site_fract_y
_atom_site_fract_z
Ba1 0.000 0.000 0.000
H1 0.000 0.000 0.500
H2 0.155 0.696 0.626
H3 0.159 0.480 0.930
H4 0.296 0.863 0.365
H5 0.390 0.403 0.704
H6 0.478 0.172 0.923
H7 0.522 0.828 0.077
H8 0.610 0.597 0.296
H9 0.704 0.137 0.635
H10 0.841 0.520 0.070
H11 0.845 0.304 0.374
Pd1 0.041 0.382 0.650
Pd2 0.369 0.064 0.641
Pd3 0.500 0.500 0.000
Pd4 0.631 0.936 0.359
Pd5 0.959 0.618 0.350
# - DFT total energy (eV per atom) = -3.939


Entry 13:
# TbSmMgSn PBE optimized geometry
data_TbSmMgSn
_cell_length_a 5.354
_cell_length_b 5.354
_cell_length_c 5.354
_cell_angle_alpha 60.00
_cell_angle_beta 60.00
_cell_angle_gamma 60.00
_symmetry_space_group_name_H-M 'P 1'
_symmetry_Int_Tables_number 1
_symmetry_space_group_name_Hall 'P 1'
loop_
_atom_site_label
_atom_site_fract_x
_atom_site_fract_y
_atom_site_fract_z
Tb1 0.000 0.000 0.000
Sm1 0.500 0.500 0.500
Mg1 0.250 0.250 0.250
Sn1 0.750 0.750 0.750
# - DFT total energy (eV per atom) = -4.155


Entry 14:
# SmHgBiAu PBE optimized geometry
data_SmHgBiAu
_cell_length_a 5.250
_cell_length_b 5.250
_cell_length_c 5.250
_cell_angle_alpha 60.00
_cell_angle_beta 60.00
_cell_angle_gamma 60.00
_symmetry_space_group_name_H-M 'P 1'
_symmetry_Int_Tables_number 1
_symmetry_space_group_name_Hall 'P 1'
loop_
_atom_site_label
_atom_site_fract_x
_atom_site_fract_y
_atom_site_fract_z
Sm1 0.000 0.000 0.000
Hg1 0.750 0.750 0.750
Bi1 0.500 0.500 0.500
Au1 0.250 0.250 0.250
# - DFT total energy (eV per atom) = -3.490


Entry 15:
# Ca2AlCu PBE optimized geometry
data_Ca2AlCu
_cell_length_a 3.506
_cell_length_b 3.581
_cell_length_c 7.702
_cell_angle_alpha 90.00
_cell_angle_beta 90.11
_cell_angle_gamma 90.00
_symmetry_space_group_name_H-M 'P 1'
_symmetry_Int_Tables_number 1
_symmetry_space_group_name_Hall 'P 1'
loop_
_atom_site_label
_atom_site_fract_x
_atom_site_fract_y
_atom_site_fract_z
Ca1 0.001 0.000 0.265
Ca2 0.999 0.000 0.735
Al1 0.500 0.500 0.000
Cu1 0.500 0.500 0.500
# - DFT total energy (eV per atom) = -3.069


Entry 16:
# Nb2ReMo PBE optimized geometry
data_Nb2ReMo
_cell_length_a 4.555
_cell_length_b 4.555
_cell_length_c 3.215
_cell_angle_alpha 90.00
_cell_angle_beta 90.00
_cell_angle_gamma 90.00
_symmetry_space_group_name_H-M 'P 1'
_symmetry_Int_Tables_number 1
_symmetry_space_group_name_Hall 'P 1'
loop_
_atom_site_label
_atom_site_fract_x
_atom_site_fract_y
_atom_site_fract_z
Nb1 0.000 0.500 0.000
Nb2 0.500 0.000 0.000
Re1 0.000 0.000 0.500
Mo1 0.500 0.500 0.500
# - DFT total energy (eV per atom) = -11.086


Entry 17:
# CsTl6As2 PBE optimized geometry
data_CsTl6As2
_cell_length_a 5.179
_cell_length_b 5.179
_cell_length_c 10.777
_cell_angle_alpha 90.00
_cell_angle_beta 90.00
_cell_angle_gamma 90.00
_symmetry_space_group_name_H-M 'P 1'
_symmetry_Int_Tables_number 1
_symmetry_space_group_name_Hall 'P 1'
loop_
_atom_site_label
_atom_site_fract_x
_atom_site_fract_y
_atom_site_fract_z
Cs1 0.000 0.000 0.000
Tl1 0.000 0.000 0.500
Tl2 0.000 0.500 0.284
Tl3 0.000 0.500 0.716
Tl4 0.500 0.000 0.284
Tl5 0.500 0.000 0.716
Tl6 0.500 0.500 0.500
As1 0.500 0.500 0.114
As2 0.500 0.500 0.886
# - DFT total energy (eV per atom) = -2.792


Entry 18:
# BaCa3Rh PBE optimized geometry
data_BaCa3Rh
_cell_length_a 6.793
_cell_length_b 10.780
_cell_length_c 10.794
_cell_angle_alpha 90.00
_cell_angle_beta 90.00
_cell_angle_gamma 90.00
_symmetry_space_group_name_H-M 'P 1'
_symmetry_Int_Tables_number 1
_symmetry_space_group_name_Hall 'P 1'
loop_
_atom_site_label
_atom_site_fract_x
_atom_site_fract_y
_atom_site_fract_z
Ba1 0.000 0.000 0.000
Ba2 0.000 0.500 0.000
Ba3 0.500 0.000 0.500
Ba4 0.500 0.500 0.500
Ca1 0.007 0.098 0.328
Ca2 0.007 0.402 0.328
Ca3 0.139 0.250 0.639
Ca4 0.361 0.750 0.139
Ca5 0.493 0.598 0.828
Ca6 0.493 0.902 0.828
Ca7 0.507 0.098 0.172
Ca8 0.507 0.402 0.172
Ca9 0.639 0.250 0.861
Ca10 0.861 0.750 0.361
Ca11 0.993 0.598 0.672
Ca12 0.993 0.902 0.672
Rh1 0.174 0.750 0.892
Rh2 0.326 0.250 0.392
Rh3 0.674 0.750 0.608
Rh4 0.826 0.250 0.108
# - ΔE to the lowest computed polymorph (eV per atom) = 0.152
# - DFT total energy (eV per atom) = -3.132


Entry 19:
# La2HgGe PBE optimized geometry
data_La2HgGe
_cell_length_a 6.308
_cell_length_b 4.419
_cell_length_c 8.913
_cell_angle_alpha 90.00
_cell_angle_beta 108.52
_cell_angle_gamma 90.00
_symmetry_space_group_name_H-M 'P 1'
_symmetry_Int_Tables_number 1
_symmetry_space_group_name_Hall 'P 1'
loop_
_atom_site_label
_atom_site_fract_x
_atom_site_fract_y
_atom_site_fract_z
La1 0.199 0.250 0.426
La2 0.284 0.750 0.066
La3 0.716 0.250 0.934
La4 0.801 0.750 0.574
Hg1 0.367 0.750 0.710
Hg2 0.633 0.250 0.290
Ge1 0.121 0.250 0.793
Ge2 0.879 0.750 0.207
# - DFT total energy (eV per atom) = -4.322


Entry 20:
# ReNi2Se PBE optimized geometry
data_ReNi2Se
_cell_length_a 4.321
_cell_length_b 2.869
_cell_length_c 4.495
_cell_angle_alpha 90.00
_cell_angle_beta 106.27
_cell_angle_gamma 90.00
_symmetry_space_group_name_H-M 'P 1'
_symmetry_Int_Tables_number 1
_symmetry_space_group_name_Hall 'P 1'
loop_
_atom_site_label
_atom_site_fract_x
_atom_site_fract_y
_atom_site_fract_z
Re1 0.000 0.000 0.000
Ni1 0.000 0.500 0.500
Ni2 0.500 0.000 0.500
Se1 0.500 0.500 0.000
# - raw formation energy (meV/atom) = 419
# - DFT total energy (eV per atom) = -6.455